[1]
The following is a DFT calculation (GGA-PBE) of a geometry-optimized Li2TmReO6 structure.

It has space group P2_1/c (No. 14), with a = 5.3048 Å, b = 5.5521 Å, c = 9.4015 Å, α = 90.00°, β = 124.33° and γ = 90.00°. The inequivalent atoms are Li at (0.2377, 0.0070, 0.2436), Tm at (0.0000, 0.0000, 0.5000), Re at (0.5000, 0.0000, 0.0000), O at (0.1496, 0.0495, 0.7712), O at (0.2570, 0.6620, 0.5587) and O at (0.4171, 0.2042, 0.5675).

Its formation energy (no corrections) is -2.24 eV per atom. The total magnetic moment comes out at 0.0 μB/cell.


[2]
The following is a DFT calculation (GGA-PBE) of a geometry-optimized Pr3Cd structure.

It has space group Fm-3m (No. 225), with a = 7.9939 Å, b = 7.9939 Å, c = 7.9939 Å, α = 90.00°, β = 90.00° and γ = 90.00°. The inequivalent atoms are Pr at (0.0000, 0.0000, 0.0000), Pr at (0.2500, 0.2500, 0.2500) and Cd at (0.0000, 0.0000, 0.5000).

As for the offset from the most stable computed form: 111 meV per atom. The value obtained for the energy relative to the elements is -0.0237 eV/atom. The total magnetic moment comes out at 0.0 μB/cell.


[3]
The following is a DFT calculation (GGA-PBE) of a geometry-optimized RbPdRu2Pb structure.

It has space group P4/mmm (No. 123), with a = 4.7368 Å, b = 4.7368 Å, c = 5.8004 Å, α = 90.00°, β = 90.00° and γ = 90.00°. The inequivalent atoms are Rb at (0.0000, 0.0000, 0.0000), Pd at (0.5000, 0.5000, 0.5000), Ru at (0.0000, 0.5000, 0.0000) and Pb at (0.0000, 0.0000, 0.5000).

The value obtained for the energy relative to the elements is 2.5645 eV/atom. The total magnetic moment comes out at 2.0 μB/cell.